Entry from the Alexandria database: Li2TcW after structural relaxation (PBE).

Calculated values
- ΔE_f (meV/atom) = 399
- offset from the most stable computed form (eV per atom) = 0.184
- total magnetic moment (Bohr magnetons per cell) = 0.000

Lattice parameters (Å, degrees): 2.6083 2.6083 9.1539 90.00 90.00 90.00
Last column: nearest neighbours and their distance in Å.
Fractional coordinates of all 4 atoms:
Tc 0.0000 0.0000 0.4968  4 Tc 2.61, 4 Li 2.82
Li 0.0000 0.0000 0.9930  4 Li 2.61, 4 W 2.91
Li 0.5000 0.5000 0.2631  4 Li 2.61, 4 Tc 2.82
W 0.5000 0.5000 0.7470  4 W 2.61, 4 Li 2.91

***

Entry from the Alexandria database: CaSnPb after structural relaxation (PBE).

Calculated values
- ΔE_f (meV/atom) = -362
- offset from the most stable computed form (eV per atom) = 0.000
- total magnetic moment (Bohr magnetons per cell) = 0.000

Lattice parameters (Å, degrees): 4.8059 7.1037 6.5605 67.53 68.51 70.23
Last column: nearest neighbours and their distance in Å.
Fractional coordinates of all 6 atoms:
Sn 0.8516 0.6662 0.6306  1 Sn 3.09, 3 Pb 3.13-3.19, 3 Ca 3.32-3.45
Ca 0.4379 0.3132 0.8110  5 Sn 3.32-3.58, 4 Pb 3.51-3.64
Pb 0.1553 0.9166 0.7728  3 Sn 3.13-3.19, 1 Pb 3.28
Pb 0.8447 0.0834 0.2272  3 Sn 3.13-3.19, 1 Pb 3.28
Ca 0.5621 0.6868 0.1890  5 Sn 3.32-3.58, 4 Pb 3.51-3.64
Sn 0.1484 0.3338 0.3694  1 Sn 3.09, 3 Pb 3.13-3.19, 3 Ca 3.32-3.45